# 1
The following is a DFT calculation (PBE) of crystalline RbTl2Zn at its relaxed geometry.

Cell and atoms, written as POSCAR:
```
RbTl2Zn
1.0
3.727 0.000 0.000
0.000 3.727 0.000
0.000 0.000 8.854
Rb Tl Zn
1 2 1
Cartesian
0.000 0.000 0.000 Rb
1.863 1.863 2.765 Tl
1.863 1.863 6.088 Tl
0.000 0.000 4.427 Zn
```

Results
Total magnetic moment in μB/f.u.: 0.0
Space group: P4/mmm
Calculated density in g/cm³: 7.56
Formation energy in eV per formula unit: 0.111
Distance to the lowest polymorph of the same formula in eV/atom: 0.037

***

# 2
The following is a DFT calculation (PBE) of crystalline Rb2TlZn2 at its relaxed geometry.

Cell and atoms, written as POSCAR:
```
Rb2TlZn2
1.0
3.822 0.000 0.000
0.000 3.822 0.000
0.000 0.000 24.399
Rb Tl Zn
4 2 4
Cartesian
0.000 0.000 2.865 Rb
0.000 0.000 21.534 Rb
1.911 1.911 9.334 Rb
1.911 1.911 15.065 Rb
0.000 0.000 12.200 Tl
1.911 1.911 0.000 Tl
0.000 1.911 6.100 Zn
0.000 1.911 18.299 Zn
1.911 0.000 6.100 Zn
1.911 0.000 18.299 Zn
```

Results
Total magnetic moment in μB/f.u.: 0.0
Space group: I4/mmm
Calculated density in g/cm³: 4.72
Formation energy in eV per formula unit: 0.719
Distance to the lowest polymorph of the same formula in eV/atom: 0.000

***

# 3
The following is a DFT calculation (PBE) of crystalline RbTl2Zn at its relaxed geometry.

Cell and atoms, written as POSCAR:
```
RbTl2Zn
1.0
7.986 0.000 0.000
0.000 7.986 0.000
0.000 0.000 7.986
Rb Tl Zn
4 8 4
Cartesian
0.000 0.000 0.000 Rb
0.000 3.993 3.993 Rb
3.993 0.000 3.993 Rb
3.993 3.993 0.000 Rb
1.997 1.997 1.997 Tl
1.997 1.997 5.990 Tl
1.997 5.990 1.997 Tl
1.997 5.990 5.990 Tl
5.990 1.997 1.997 Tl
5.990 1.997 5.990 Tl
5.990 5.990 1.997 Tl
5.990 5.990 5.990 Tl
0.000 0.000 3.993 Zn
0.000 3.993 0.000 Zn
3.993 0.000 0.000 Zn
3.993 3.993 3.993 Zn
```

Results
Total magnetic moment in μB/f.u.: 0.0
Space group: Fm-3m
Calculated density in g/cm³: 7.30
Formation energy in eV per formula unit: 0.658
Distance to the lowest polymorph of the same formula in eV/atom: 0.173

***

# 4
The following is a DFT calculation (PBE) of crystalline RbTl2Zn at its relaxed geometry.

Cell and atoms, written as POSCAR:
```
RbTl2Zn
1.0
4.792 0.000 0.000
-2.396 4.150 0.000
0.000 0.000 21.553
Rb Tl Zn
3 6 3
Cartesian
0.000 0.000 0.000 Rb
0.000 2.767 14.368 Rb
2.396 1.383 7.184 Rb
0.000 0.000 4.600 Tl
0.000 0.000 9.745 Tl
0.000 2.767 2.560 Tl
0.000 2.767 18.968 Tl
2.396 1.383 11.784 Tl
2.396 1.383 16.929 Tl
0.000 0.000 17.794 Zn
0.000 2.767 10.610 Zn
2.396 1.383 3.425 Zn
```

Results
Total magnetic moment in μB/f.u.: 0.0
Space group: R3m
Calculated density in g/cm³: 6.51
Formation energy in eV per formula unit: -0.036
Distance to the lowest polymorph of the same formula in eV/atom: 0.000

***

Please write out number 2 again, unchanged.
The following is a DFT calculation (PBE) of crystalline Rb2TlZn2 at its relaxed geometry.

Cell and atoms, written as POSCAR:
```
Rb2TlZn2
1.0
3.822 0.000 0.000
0.000 3.822 0.000
0.000 0.000 24.399
Rb Tl Zn
4 2 4
Cartesian
0.000 0.000 2.865 Rb
0.000 0.000 21.534 Rb
1.911 1.911 9.334 Rb
1.911 1.911 15.065 Rb
0.000 0.000 12.200 Tl
1.911 1.911 0.000 Tl
0.000 1.911 6.100 Zn
0.000 1.911 18.299 Zn
1.911 0.000 6.100 Zn
1.911 0.000 18.299 Zn
```

Results
Total magnetic moment in μB/f.u.: 0.0
Space group: I4/mmm
Calculated density in g/cm³: 4.72
Formation energy in eV per formula unit: 0.719
Distance to the lowest polymorph of the same formula in eV/atom: 0.000

***

> Which of these has the highest calculated density?

number 1